1.
Density functional theory data (GGA-PBE) for an optimized crystal structure of Li3AlCd2.

Geometry as POSCAR:
```
Li3AlCd2
1.0
-2.675 -4.389 1.652
2.948 -4.485 0.589
1.345 6.416 6.536
Li Cd Al
6 4 2
Cartesian
0.308 -1.844 1.795 Li
0.448 -6.385 2.941 Li
1.170 3.927 5.835 Li
0.498 0.666 2.576 Li
1.310 -0.614 6.982 Li
1.119 -3.124 6.200 Li
-1.282 -4.413 1.389 Cd
-0.597 -1.205 4.654 Cd
2.215 -1.253 4.122 Cd
1.555 -4.461 0.852 Cd
1.012 1.352 5.232 Al
0.606 -3.810 3.545 Al
```

Values from the calculation:
* VASP energy: -2.037 eV/atom
* ΔE_f: -151 meV per atom
* calculated volume: 17.6 A^3/atom

2.
Density functional theory data (GGA-PBE) for an optimized crystal structure of Ca2PrPdRh.

Geometry as POSCAR:
```
Ca2PrPdRh
1.0
-3.662 -0.388 -3.827
-0.987 -5.013 1.452
-3.873 1.784 3.525
Ca Rh Pd Pr
2 1 1 1
Cartesian
-6.503 -3.509 2.892 Ca
-4.178 -0.809 4.080 Ca
-0.001 0.000 0.001 Rh
-4.693 -1.610 0.968 Pd
-2.866 -4.147 3.163 Pr
```

Values from the calculation:
* VASP energy: -4.440 eV/atom
* ΔE_f: -174 meV per atom
* calculated volume: 31.2 A^3/atom

3.
Density functional theory data (GGA-PBE) for an optimized crystal structure of Sr2Cd2Ge.

Geometry as POSCAR:
```
Sr2Cd2Ge
1.0
7.696 0.000 0.000
0.000 7.696 0.000
0.000 0.000 5.105
Cd Sr Ge
4 4 2
Cartesian
2.855 6.703 0.000 Cd
6.703 4.841 0.000 Cd
0.993 2.855 0.000 Cd
4.841 0.993 0.000 Cd
6.286 2.438 2.552 Sr
5.259 6.286 2.552 Sr
1.410 5.259 2.552 Sr
2.438 1.410 2.552 Sr
3.848 3.848 0.000 Ge
0.000 0.000 0.000 Ge
```

Values from the calculation:
* VASP energy: -2.202 eV/atom
* excess energy over the best structure of this formula in the dataset: 169 meV/atom
* ΔE_f: -240 meV per atom
* calculated volume: 30.2 A^3/atom